i:
Below is a relaxed structure of BSBrN2, with properties calculated at the PBE-GGA level.

Unit cell a=3.599 b=3.599 c=7.528 alpha=90.00 beta=90.00 gamma=90.00
Site moments in Bohr magnetons follow the coordinates.
Element x y z (fractional)
S (0.000, 0.000, 0.500)  0.00
B (0.500, 0.500, 0.500)  0.00
Br (0.000, 0.000, 0.000)  0.04
N (0.000, 0.500, 0.000)  0.17
N (0.500, 0.000, 0.000)  0.17

ii:
Below is a relaxed structure of BSBrN2, with properties calculated at the PBE-GGA level.

Unit cell a=3.306 b=7.372 c=3.306 alpha=90.00 beta=90.00 gamma=90.00
Element x y z (fractional)
S (0.000, 0.500, 0.000)
B (0.000, 0.000, 0.000)
Br (0.500, 0.500, 0.500)
N (0.000, 0.000, 0.500)
N (0.500, 0.000, 0.000)

Most stable structure - ii; separation to the second - 132.2 kJ/mol of atoms.

i:
Below is a relaxed structure of BSe2BrN, with properties calculated at the PBE-GGA level.

Unit cell a=5.374 b=5.374 c=3.692 alpha=90.00 beta=90.00 gamma=90.00
Site moments in Bohr magnetons follow the coordinates.
Element x y z (fractional)
B (0.500, 0.500, 0.500)  0.00
Se (0.000, 0.500, 0.000)  0.07
Se (0.500, 0.000, 0.000)  0.07
Br (0.000, 0.000, 0.000)  -0.01
N (0.000, 0.000, 0.500)  0.25

ii:
Below is a relaxed structure of BSe2BrN, with properties calculated at the PBE-GGA level.

Unit cell a=8.236 b=8.236 c=2.546 alpha=90.00 beta=90.00 gamma=90.00
Site moments in Bohr magnetons follow the coordinates.
Element x y z (fractional)
B (0.000, 0.000, 0.000)  0.00
Se (0.000, 0.500, 0.000)  0.10
Se (0.500, 0.000, 0.000)  0.10
Br (0.500, 0.500, 0.500)  -0.01
N (0.000, 0.000, 0.500)  0.00

Most stable structure - ii; separation to the second - 207.9 kJ/mol of atoms.

i:
Below is a relaxed structure of BTe2BrN, with properties calculated at the PBE-GGA level.

Unit cell a=5.863 b=5.863 c=3.650 alpha=90.00 beta=90.00 gamma=90.00
Element x y z (fractional)
B (0.500, 0.500, 0.500)
Te (0.000, 0.500, 0.000)
Te (0.500, 0.000, 0.000)
Br (0.000, 0.000, 0.000)
N (0.000, 0.000, 0.500)

ii:
Below is a relaxed structure of BTe2BrN, with properties calculated at the PBE-GGA level.

Unit cell a=8.521 b=8.521 c=2.666 alpha=90.00 beta=90.00 gamma=90.00
Element x y z (fractional)
B (0.000, 0.000, 0.000)
Te (0.000, 0.500, 0.000)
Te (0.500, 0.000, 0.000)
Br (0.500, 0.500, 0.500)
N (0.000, 0.000, 0.500)

Most stable structure - ii; separation to the second - 201.7 kJ/mol of atoms.

i:
Below is a relaxed structure of BTeBrN2, with properties calculated at the PBE-GGA level.

Unit cell a=3.698 b=3.698 c=5.280 alpha=90.00 beta=90.00 gamma=90.00
Element x y z (fractional)
B (0.000, 0.000, 0.000)
Te (0.000, 0.000, 0.500)
Br (0.500, 0.500, 0.500)
N (0.000, 0.500, 0.000)
N (0.500, 0.000, 0.000)

ii:
Below is a relaxed structure of BTeBrN2, with properties calculated at the PBE-GGA level.

Unit cell a=3.705 b=3.705 c=8.120 alpha=90.00 beta=90.00 gamma=90.00
Site moments in Bohr magnetons follow the coordinates.
Element x y z (fractional)
B (0.500, 0.500, 0.500)  0.00
Te (0.000, 0.000, 0.500)  0.00
Br (0.000, 0.000, 0.000)  -0.01
N (0.000, 0.500, 0.000)  0.16
N (0.500, 0.000, 0.000)  0.16

Most stable structure - i; separation to the second - 63.5 kJ/mol of atoms.

i:
Below is a relaxed structure of NaB2Br, with properties calculated at the PBE-GGA level.

Unit cell a=4.644 b=4.644 c=4.644 alpha=60.00 beta=60.00 gamma=60.00
Element x y z (fractional)
Na (0.000, 0.000, 0.000)
B (0.250, 0.250, 0.250)
B (0.750, 0.750, 0.750)
Br (0.500, 0.500, 0.500)

ii:
Below is a relaxed structure of NaB2Br, with properties calculated at the PBE-GGA level.

Unit cell a=7.603 b=7.603 c=5.966 alpha=50.42 beta=50.42 gamma=90.00
Element x y z (fractional)
Na (0.500, 0.500, 0.000)
Na (0.250, 0.750, 0.500)
B (0.642, 0.125, 0.250)
B (0.108, 0.625, 0.250)
B (0.375, 0.358, 0.750)
B (0.875, 0.892, 0.750)
Br (0.000, 0.000, 0.000)
Br (0.750, 0.250, 0.500)

Most stable structure - ii; separation to the second - 31.0 kJ/mol of atoms.

i:
Below is a relaxed structure of NaBBr3, with properties calculated at the PBE-GGA level.

Unit cell a=4.864 b=4.864 c=4.864 alpha=90.00 beta=90.00 gamma=90.00
Element x y z (fractional)
Na (0.500, 0.500, 0.500)
B (0.000, 0.000, 0.000)
Br (0.000, 0.500, 0.000)
Br (0.000, 0.000, 0.500)
Br (0.500, 0.000, 0.000)

ii:
Below is a relaxed structure of NaBBr3, with properties calculated at the PBE-GGA level.

Unit cell a=5.476 b=5.476 c=5.476 alpha=90.00 beta=90.00 gamma=90.00
Site moments in Bohr magnetons follow the coordinates.
Element x y z (fractional)
Na (0.000, 0.000, 0.000)  0.00
B (0.500, 0.500, 0.500)  -0.03
Br (0.000, 0.500, 0.000)  0.27
Br (0.000, 0.000, 0.500)  0.27
Br (0.500, 0.000, 0.000)  0.27

Most stable structure - i; separation to the second - 75.4 kJ/mol of atoms.

i:
Below is a relaxed structure of Na2BBr, with properties calculated at the PBE-GGA level.

Unit cell a=7.581 b=7.581 c=6.323 alpha=53.16 beta=53.16 gamma=90.00
Element x y z (fractional)
Na (0.612, 0.125, 0.250)
Na (0.138, 0.625, 0.250)
Na (0.375, 0.388, 0.750)
Na (0.875, 0.862, 0.750)
B (0.500, 0.500, 0.000)
B (0.250, 0.750, 0.500)
Br (0.000, 0.000, 0.000)
Br (0.750, 0.250, 0.500)

ii:
Below is a relaxed structure of Na2BBr, with properties calculated at the PBE-GGA level.

Unit cell a=5.029 b=5.029 c=5.029 alpha=60.00 beta=60.00 gamma=60.00
Site moments in Bohr magnetons follow the coordinates.
Element x y z (fractional)
Na (0.250, 0.250, 0.250)  0.02
Na (0.750, 0.750, 0.750)  0.02
B (0.000, 0.000, 0.000)  0.58
Br (0.500, 0.500, 0.500)  0.05

Most stable structure - i; separation to the second - 4.9 kJ/mol of atoms.

i:
Below is a relaxed structure of NaBSe2Br, with properties calculated at the PBE-GGA level.

Unit cell a=4.267 b=4.267 c=7.695 alpha=90.00 beta=90.00 gamma=90.00
Element x y z (fractional)
Na (0.500, 0.500, 0.500)
B (0.000, 0.000, 0.000)
Se (0.000, 0.500, 0.000)
Se (0.500, 0.000, 0.000)
Br (0.000, 0.000, 0.500)

ii:
Below is a relaxed structure of NaBSe2Br, with properties calculated at the PBE-GGA level.

Unit cell a=5.352 b=5.352 c=5.403 alpha=90.00 beta=90.00 gamma=90.00
Site moments in Bohr magnetons follow the coordinates.
Element x y z (fractional)
Na (0.000, 0.000, 0.000)  0.01
B (0.500, 0.500, 0.500)  -0.06
Se (0.000, 0.500, 0.000)  0.79
Se (0.500, 0.000, 0.000)  0.79
Br (0.000, 0.000, 0.500)  0.27

Most stable structure - i; separation to the second - 119.3 kJ/mol of atoms.

i:
Below is a relaxed structure of Nb2BBr, with properties calculated at the PBE-GGA level.

Unit cell a=5.372 b=5.372 c=6.765 alpha=66.60 beta=66.60 gamma=90.00
Element x y z (fractional)
Nb (0.537, 0.125, 0.250)
Nb (0.213, 0.625, 0.250)
Nb (0.375, 0.463, 0.750)
Nb (0.875, 0.787, 0.750)
B (0.500, 0.500, 0.000)
B (0.250, 0.750, 0.500)
Br (0.000, 0.000, 0.000)
Br (0.750, 0.250, 0.500)

ii:
Below is a relaxed structure of Nb2BBr, with properties calculated at the PBE-GGA level.

Unit cell a=4.385 b=4.385 c=4.385 alpha=60.00 beta=60.00 gamma=60.00
Element x y z (fractional)
Nb (0.250, 0.250, 0.250)
Nb (0.750, 0.750, 0.750)
B (0.000, 0.000, 0.000)
Br (0.500, 0.500, 0.500)

Most stable structure - ii; separation to the second - 4.5 kJ/mol of atoms.

i:
Below is a relaxed structure of NbB2Br2, with properties calculated at the PBE-GGA level.

Unit cell a=7.197 b=7.197 c=3.080 alpha=90.00 beta=90.00 gamma=90.00
Element x y z (fractional)
Nb (0.000, 0.000, 0.000)
Nb (0.500, 0.500, 0.000)
B (0.218, 0.718, 0.500)
B (0.718, 0.782, 0.500)
B (0.782, 0.282, 0.500)
B (0.282, 0.218, 0.500)
Br (0.358, 0.858, 0.000)
Br (0.858, 0.642, 0.000)
Br (0.642, 0.142, 0.000)
Br (0.142, 0.358, 0.000)

ii:
Below is a relaxed structure of NbB2Br2, with properties calculated at the PBE-GGA level.

Unit cell a=3.020 b=3.020 c=10.816 alpha=81.98 beta=81.98 gamma=90.00
Element x y z (fractional)
Nb (0.000, 0.000, 0.000)
B (0.750, 0.250, 0.500)
B (0.250, 0.750, 0.500)
Br (0.420, 0.420, 0.160)
Br (0.580, 0.580, 0.840)

Most stable structure - ii; separation to the second - 48.0 kJ/mol of atoms.

i:
Below is a relaxed structure of NbBBr2, with properties calculated at the PBE-GGA level.

Unit cell a=4.620 b=4.620 c=4.620 alpha=60.00 beta=60.00 gamma=60.00
Element x y z (fractional)
Nb (0.500, 0.500, 0.500)
B (0.000, 0.000, 0.000)
Br (0.250, 0.250, 0.250)
Br (0.750, 0.750, 0.750)

ii:
Below is a relaxed structure of NbBBr2, with properties calculated at the PBE-GGA level.

Unit cell a=8.463 b=8.463 c=8.463 alpha=22.74 beta=22.74 gamma=22.74
Element x y z (fractional)
Nb (0.000, 0.000, 0.000)
B (0.500, 0.500, 0.500)
Br (0.897, 0.897, 0.897)
Br (0.103, 0.103, 0.103)

Most stable structure - i; separation to the second - 2.6 kJ/mol of atoms.

i:
Below is a relaxed structure of NbBSe2Br, with properties calculated at the PBE-GGA level.

Unit cell a=5.044 b=5.044 c=5.214 alpha=90.00 beta=90.00 gamma=90.00
Element x y z (fractional)
Nb (0.000, 0.000, 0.000)
B (0.500, 0.500, 0.500)
Se (0.000, 0.500, 0.000)
Se (0.500, 0.000, 0.000)
Br (0.000, 0.000, 0.500)

ii:
Below is a relaxed structure of NbBSe2Br, with properties calculated at the PBE-GGA level.

Unit cell a=4.521 b=4.521 c=4.479 alpha=90.00 beta=90.00 gamma=90.00
Site moments in Bohr magnetons follow the coordinates.
Element x y z (fractional)
Nb (0.500, 0.500, 0.500)  1.96
B (0.000, 0.000, 0.000)  -0.03
Se (0.000, 0.500, 0.000)  -0.14
Se (0.500, 0.000, 0.000)  -0.14
Br (0.000, 0.000, 0.500)  -0.07

Most stable structure - i; separation to the second - 2.1 kJ/mol of atoms.

i:
Below is a relaxed structure of NbBSeBr2, with properties calculated at the PBE-GGA level.

Unit cell a=5.157 b=5.157 c=4.545 alpha=90.00 beta=90.00 gamma=90.00
Site moments in Bohr magnetons follow the coordinates.
Element x y z (fractional)
Nb (0.000, 0.000, 0.000)  0.22
B (0.000, 0.000, 0.500)  -0.04
Se (0.500, 0.500, 0.500)  0.88
Br (0.000, 0.500, 0.000)  0.04
Br (0.500, 0.000, 0.000)  0.04

ii:
Below is a relaxed structure of NbBSeBr2, with properties calculated at the PBE-GGA level.

Unit cell a=4.563 b=4.563 c=4.710 alpha=90.00 beta=90.00 gamma=90.00
Site moments in Bohr magnetons follow the coordinates.
Element x y z (fractional)
Nb (0.500, 0.500, 0.500)  2.43
B (0.000, 0.000, 0.000)  0.01
Se (0.000, 0.000, 0.500)  -0.11
Br (0.000, 0.500, 0.000)  -0.03
Br (0.500, 0.000, 0.000)  -0.03

iii:
Below is a relaxed structure of NbBSeBr2, with properties calculated at the PBE-GGA level.

Unit cell a=5.233 b=5.233 c=5.024 alpha=90.00 beta=90.00 gamma=90.00
Site moments in Bohr magnetons follow the coordinates.
Element x y z (fractional)
Nb (0.000, 0.000, 0.000)  0.47
B (0.500, 0.500, 0.500)  0.21
Se (0.000, 0.000, 0.500)  -0.01
Br (0.000, 0.500, 0.000)  0.00
Br (0.500, 0.000, 0.000)  0.00

Most stable structure - iii; separation to the second - 10.5 kJ/mol of atoms.